Entry 1:
# ZrCdAs2N | Alexandria | PBE-GGA | optimized geometry
# formation energy from raw total energies = 2.20 eV/f.u.
# total magnetic moment = 0.0000 μB per atom
data_ZrCdAs2N
_chemical_formula_sum 'Zr1 Cd1 As2 N1'
_cell_length_a 4.6028
_cell_length_b 4.2082
_cell_length_c 4.6028
_cell_angle_alpha 90.00
_cell_angle_beta 90.00
_cell_angle_gamma 90.00
_space_group_name_H-M_alt 'P 1'
_space_group_IT_number 1
_space_group_name_Hall 'P 1'
loop_
_atom_site_label
_atom_site_type_symbol
_atom_site_fract_x
_atom_site_fract_y
_atom_site_fract_z
Zr1 Zr 0.5000 0.5000 0.5000
As1 As 0.0000 0.0000 0.5000
As2 As 0.5000 0.0000 0.0000
Cd1 Cd 0.0000 0.5000 0.0000
N1 N 0.0000 0.0000 0.0000

Entry 2:
# Ca2TaTiO6 | Alexandria | PBE-GGA | optimized geometry
# formation energy from raw total energies = -29.59 eV/f.u.
# total magnetic moment = 0.0000 μB per atom
data_Ca2TaTiO6
_chemical_formula_sum 'Ca2 Ta1 Ti1 O6'
_cell_length_a 3.9867
_cell_length_b 5.6237
_cell_length_c 5.6237
_cell_angle_alpha 90.00
_cell_angle_beta 90.00
_cell_angle_gamma 90.00
_space_group_name_H-M_alt 'P 1'
_space_group_IT_number 1
_space_group_name_Hall 'P 1'
loop_
_atom_site_label
_atom_site_type_symbol
_atom_site_fract_x
_atom_site_fract_y
_atom_site_fract_z
O1 O 0.6735 0.2498 0.2498
O2 O 0.1604 0.5000 0.5000
O3 O 0.1554 0.0000 0.0000
O4 O 0.6735 0.2498 0.7502
O5 O 0.6735 0.7502 0.2498
O6 O 0.6735 0.7502 0.7502
Ti1 Ti 0.6476 0.5000 0.5000
Ca1 Ca 0.0713 0.0000 0.5000
Ca2 Ca 0.0713 0.5000 0.0000
Ta1 Ta 0.6466 0.0000 0.0000

Entry 3:
# PmGaSiPd2 | Alexandria | PBE-GGA | optimized geometry
# formation energy from raw total energies = -3.85 eV/f.u.
# total magnetic moment = 0.0000 μB per atom
data_PmGaSiPd2
_chemical_formula_sum 'Pm1 Ga1 Si1 Pd2'
_cell_length_a 4.0999
_cell_length_b 3.9579
_cell_length_c 6.4142
_cell_angle_alpha 107.97
_cell_angle_beta 108.64
_cell_angle_gamma 90.00
_space_group_name_H-M_alt 'P 1'
_space_group_IT_number 1
_space_group_name_Hall 'P 1'
loop_
_atom_site_label
_atom_site_type_symbol
_atom_site_fract_x
_atom_site_fract_y
_atom_site_fract_z
Pm1 Pm 0.4400 0.4400 0.8799
Pd1 Pd 0.0394 0.0394 0.0788
Pd2 Pd 0.7109 0.2109 0.4218
Si1 Si 0.8308 0.8308 0.6616
Ga1 Ga 0.1911 0.6911 0.3822

Entry 4:
# K2LaSi | Alexandria | PBE-GGA | optimized geometry
# formation energy from raw total energies = -0.02 eV/f.u.
# total magnetic moment = 0.0000 μB per atom
data_K2LaSi
_chemical_formula_sum 'K2 La1 Si1'
_cell_length_a 4.1250
_cell_length_b 4.1250
_cell_length_c 10.4722
_cell_angle_alpha 90.00
_cell_angle_beta 90.00
_cell_angle_gamma 90.00
_space_group_name_H-M_alt 'P 1'
_space_group_IT_number 1
_space_group_name_Hall 'P 1'
loop_
_atom_site_label
_atom_site_type_symbol
_atom_site_fract_x
_atom_site_fract_y
_atom_site_fract_z
Si1 Si 0.5000 0.5000 0.6807
La1 La 0.0000 0.0000 0.6009
K1 K 0.0000 0.0000 0.9266
K2 K 0.5000 0.5000 0.2919